[1]
Below is crystalline CaCeRuN3 at its relaxed geometry, with properties calculated at the PBE-GGA level.

Computed properties:
Energy relative to the elements, uncorrected ... -0.72 eV per atom

a = 3.4787 Å, b = 7.0957 Å, c = 8.5300 Å
α = 98.93°, β = 90.00°, γ = 90.00°
Closest atoms and distances in Å follow each position.
Fractional coordinates of all 12 atoms:
Ca: 0.7500 0.8391 0.8596  5 N 2.44-2.60
Ca: 0.2500 0.1609 0.1404  5 N 2.44-2.60
Ce: 0.2500 0.6412 0.1612  6 N 2.33-2.50
Ce: 0.7500 0.3588 0.8388  6 N 2.33-2.50
Ru: 0.2500 0.0371 0.6146  4 N 2.00-2.01
Ru: 0.7500 0.9629 0.3854  4 N 2.00-2.01
N: 0.2500 0.8345 0.4221  3 Ru 2.01
N: 0.7500 0.8910 0.1498  1 Ru 2.00
N: 0.7500 0.4150 0.1155  3 Ce 2.33-2.36, 2 Ca 2.54
N: 0.7500 0.1655 0.5779  3 Ru 2.01
N: 0.2500 0.5850 0.8845  3 Ce 2.33-2.36, 2 Ca 2.54
N: 0.2500 0.1090 0.8502  1 Ru 2.00

[2]
Below is crystalline CaCeSbN at its relaxed geometry, with properties calculated at the PBE-GGA level.

Computed properties:
Energy relative to the elements, uncorrected ... -1.17 eV per atom

a = 4.6110 Å, b = 4.6110 Å, c = 9.1321 Å
α = 90.00°, β = 90.00°, γ = 90.00°
Closest atoms and distances in Å follow each position.
Fractional coordinates of all 8 atoms:
Ca: 0.0000 0.0000 0.5000  4 N 2.48
Ca: 0.5000 0.5000 0.5000  4 N 2.48
Ce: 0.5000 0.0000 0.8179  1 N 2.00
Ce: 0.0000 0.5000 0.1821  1 N 2.00
Sb: 0.0000 0.5000 0.8156  5 Ce 3.26-3.35
Sb: 0.5000 0.0000 0.1844  5 Ce 3.26-3.35
N: 0.0000 0.5000 0.4011  1 Ce 2.00
N: 0.5000 0.0000 0.5989  1 Ce 2.00

[3]
Below is crystalline Ca2CeSbN4 at its relaxed geometry, with properties calculated at the PBE-GGA level.

Computed properties:
Energy relative to the elements, uncorrected ... -0.70 eV per atom

a = 3.5100 Å, b = 6.0172 Å, c = 6.0647 Å
α = 109.20°, β = 90.00°, γ = 90.00°
Closest atoms and distances in Å follow each position.
Fractional coordinates of all 8 atoms:
Ca: 0.5000 0.0000 0.5000  6 N 2.54-2.56
Ca: 0.0000 0.5000 0.5000  6 N 2.54-2.55
Ce: 0.5000 0.5000 0.0000  6 N 2.39-2.40
Sb: 0.0000 0.0000 0.0000  6 N 2.39-2.41
N: 0.5000 0.2425 0.2282  1 Ce 2.39, 2 Sb 2.41, 3 Ca 2.54-2.55
N: 0.5000 0.7575 0.7718  1 Ce 2.39, 2 Sb 2.41, 3 Ca 2.54-2.55
N: 0.0000 0.2579 0.7731  1 Sb 2.39, 2 Ce 2.40, 3 Ca 2.54-2.56
N: 0.0000 0.7421 0.2269  1 Sb 2.39, 2 Ce 2.40, 3 Ca 2.54-2.56

[4]
Below is crystalline Ca3Ce3SbN8 at its relaxed geometry, with properties calculated at the PBE-GGA level.

Computed properties:
Energy relative to the elements, uncorrected ... -0.82 eV per atom

a = 6.9846 Å, b = 6.9850 Å, c = 7.0071 Å
α = 119.89°, β = 90.00°, γ = 120.00°
Closest atoms and distances in Å follow each position.
Fractional coordinates of all 15 atoms:
Ca: 0.0000 0.0000 0.0000  6 N 2.56-2.58
Ca: 0.0000 0.5000 0.0000  6 N 2.56-2.58
Ca: 0.5000 0.5000 0.0000  6 N 2.56-2.58
Ce: 0.5000 0.0000 0.5000  6 N 2.37-2.42
Ce: 0.5000 0.5000 0.5000  6 N 2.37-2.42
Ce: 0.0000 0.5000 0.5000  6 N 2.37-2.42
Sb: 0.0000 0.0000 0.5000  6 N 2.20
N: 0.2604 0.5208 0.2812  3 Ce 2.37, 3 Ca 2.58
N: 0.7396 0.4792 0.7188  3 Ce 2.37, 3 Ca 2.58
N: 0.7778 0.5556 0.2911  1 Sb 2.20, 2 Ce 2.42
N: 0.2222 0.4444 0.7089  1 Sb 2.20, 2 Ce 2.42
N: 0.7777 0.0134 0.2911  1 Sb 2.20, 2 Ce 2.42
N: 0.2223 0.9866 0.7089  1 Sb 2.20, 2 Ce 2.42
N: 0.2356 0.0134 0.2911  1 Sb 2.20, 2 Ce 2.42
N: 0.7644 0.9866 0.7089  1 Sb 2.20, 2 Ce 2.42

[5]
Below is crystalline Ca3Ce3SiN8 at its relaxed geometry, with properties calculated at the PBE-GGA level.

Computed properties:
Energy relative to the elements, uncorrected ... -0.84 eV per atom

a = 6.8105 Å, b = 6.8190 Å, c = 6.9309 Å
α = 119.45°, β = 90.00°, γ = 119.96°
Closest atoms and distances in Å follow each position.
Fractional coordinates of all 15 atoms:
Ca: 0.0000 0.0000 0.0000  6 N 2.52-2.53
Ca: 0.0000 0.5000 0.0000  6 N 2.51-2.54
Ca: 0.5000 0.5000 0.0000  6 N 2.51-2.54
Ce: 0.5000 0.0000 0.5000  6 N 2.35-2.40
Ce: 0.5000 0.5000 0.5000  6 N 2.35-2.41
Ce: 0.0000 0.5000 0.5000  6 N 2.35-2.41
Si: 0.0000 0.0000 0.5000  6 N 2.00-2.01
N: 0.2580 0.5160 0.2741  3 Ce 2.35, 3 Ca 2.51-2.52
N: 0.7420 0.4840 0.7259  3 Ce 2.35, 3 Ca 2.51-2.52
N: 0.7933 0.5867 0.3061  1 Si 2.01
N: 0.2067 0.4133 0.6939  1 Si 2.01
N: 0.7938 0.0118 0.3060  1 Si 2.00
N: 0.2062 0.9882 0.6940  1 Si 2.00
N: 0.2180 0.0118 0.3060  1 Si 2.00
N: 0.7820 0.9882 0.6940  1 Si 2.00

[6]
Below is crystalline Ca4Ce3SiN8 at its relaxed geometry, with properties calculated at the PBE-GGA level.

Computed properties:
Energy relative to the elements, uncorrected ... -1.03 eV per atom

a = 6.7712 Å, b = 6.8255 Å, c = 7.0624 Å
α = 118.68°, β = 118.65°, γ = 90.00°
Closest atoms and distances in Å follow each position.
Fractional coordinates of all 16 atoms:
Ca: 0.5000 0.0000 0.0000  2 N 2.30
Ca: 0.5000 0.0000 0.5000  6 N 2.47-2.72
Ca: 0.0000 0.0000 0.0000  6 N 2.48-2.75
Ca: 0.0000 0.0000 0.5000  6 N 2.47-2.72
Ce: 0.5000 0.5000 0.0000  6 N 2.41-2.44
Ce: 0.5000 0.5000 0.5000  6 N 2.33-2.55
Ce: 0.0000 0.5000 0.5000  6 N 2.33-2.55
Si: 0.0000 0.5000 0.0000  4 N 1.96
N: 0.1996 0.6923 0.9838  1 Si 1.96
N: 0.2791 0.7593 0.5583  3 Ca 2.30-2.52, 2 Ce 2.33
N: 0.2650 0.2775 0.5299  3 Ce 2.35-2.44, 2 Ca 2.47
N: 0.7842 0.6923 0.9838  1 Si 1.96
N: 0.2158 0.3077 0.0162  1 Si 1.96
N: 0.7350 0.7225 0.4701  3 Ce 2.35-2.44, 2 Ca 2.47
N: 0.7209 0.2407 0.4417  3 Ca 2.30-2.52, 2 Ce 2.33
N: 0.8004 0.3077 0.0162  1 Si 1.96